No. 1
Computed, not measured: an optimized crystal structure of CsTc2TeC at the PBEsol level of DFT.

```
CsTc2TeC
1.0
4.8855 0.0000 0.0000
0.0000 4.8855 0.0000
0.0000 0.0000 6.5039
Cs Tc C Te
1 2 1 1
Direct
0.0000 0.0000 0.0000
0.0000 0.5000 0.0000
0.5000 0.0000 0.0000
0.5000 0.5000 0.5000
0.0000 0.0000 0.5000
```

Properties
Formation energy (no corrections) = 4.11 eV/atom
Space group = P4/mmm
Size of the total moment = 5.43 Bohr magnetons per cell



No. 2
Computed, not measured: an optimized crystal structure of Gd2MgCd at the PBEsol level of DFT.

```
Gd2MgCd
1.0
5.2831 0.0000 0.0000
2.6415 4.5753 0.0000
2.6415 1.5251 4.3136
Cd Gd Mg
1 2 1
Direct
0.5000 0.5000 0.5000
0.7500 0.7500 0.7500
0.2500 0.2500 0.2500
0.0000 0.0000 0.0000
```

Properties
Energy relative to the elements = -0.223 eV/atom
Space group = Fm-3m
Size of the total moment = 15.14 Bohr magnetons per cell



no.,electronic total energy (eV/atom)
1,-3.222
2,-8.176